[1]
Entry from Alexandria: a geometry-optimized HfSbSeF2 structure (GGA-PBE).

The structure in POSCAR format:
```
HfSbSeF2
1.0
4.099 0.000 0.000
0.000 4.099 0.000
0.000 0.000 7.018
Hf Sb Se F
1 1 1 2
direct
0.000 0.000 0.000
0.500 0.500 0.000
0.500 0.500 0.500
0.000 0.500 0.500
0.500 0.000 0.500
```

**DOS at the Fermi energy**: 0.69 states/eV/atom
**DFT total energy**: -23.10 eV/cell

[2]
Entry from Alexandria: a geometry-optimized HfSnSb2F structure (GGA-PBE).

The structure in POSCAR format:
```
HfSnSb2F
1.0
5.682 0.000 0.000
0.000 5.682 0.000
0.000 0.000 4.096
Hf Sn Sb F
1 1 2 1
direct
0.000 0.000 0.000
0.500 0.500 0.500
0.000 0.500 0.000
0.500 0.000 0.000
0.000 0.000 0.500
```

**DOS at the Fermi energy**: 0.51 states/eV/atom
**DFT total energy**: -28.30 eV/cell

[3]
Entry from Alexandria: a geometry-optimized HfTcSb2F structure (GGA-PBE).

The structure in POSCAR format:
```
HfTcSb2F
1.0
4.936 0.000 0.000
0.000 4.936 0.000
0.000 0.000 3.980
Hf Tc Sb F
1 1 2 1
direct
0.000 0.000 0.000
0.500 0.500 0.000
0.000 0.500 0.500
0.500 0.000 0.500
0.500 0.500 0.500
```

**DOS at the Fermi energy**: 0.91 states/eV/atom
**DFT total energy**: -30.09 eV/cell